Model one:
The following is a DFT calculation (PBE) of a relaxed SrLiMo2 crystal.

## Properties
Symmetry: Cm
ρ (g cm⁻³): 5.70

Geometry as CIF:
```
data_SrLiMo2
_chemical_formula_sum 'Sr1 Li1 Mo2'
_symmetry_space_group_name_H-M 'P 1'
_symmetry_Int_Tables_number 1
_symmetry_space_group_name_Hall 'P 1'
_cell_length_a 4.750
_cell_length_b 4.750
_cell_length_c 6.572
_cell_angle_alpha 88.45
_cell_angle_beta 88.45
_cell_angle_gamma 34.28
loop_
_atom_site_label
_atom_site_fract_x
_atom_site_fract_y
_atom_site_fract_z
Li1 0.256 0.256 0.190
Mo1 0.994 0.994 0.978
Mo2 0.748 0.748 0.823
Sr1 0.502 0.502 0.509
```

Model two:
The following is a DFT calculation (PBE) of a relaxed SrLiMo2 crystal.

## Properties
Symmetry: Pmmm
ρ (g cm⁻³): 6.09

Geometry as CIF:
```
data_SrLiMo2
_chemical_formula_sum 'Sr1 Li1 Mo2'
_symmetry_space_group_name_H-M 'P 1'
_symmetry_Int_Tables_number 1
_symmetry_space_group_name_Hall 'P 1'
_cell_length_a 3.306
_cell_length_b 4.347
_cell_length_c 5.430
_cell_angle_alpha 90.00
_cell_angle_beta 90.00
_cell_angle_gamma 90.00
loop_
_atom_site_label
_atom_site_fract_x
_atom_site_fract_y
_atom_site_fract_z
Li1 0.000 0.500 0.500
Mo1 0.000 0.000 0.000
Mo2 0.500 0.500 0.000
Sr1 0.500 0.000 0.500
```

Model three:
The following is a DFT calculation (PBE) of a relaxed SrLiMo2 crystal.

## Properties
Symmetry: P2/m
ρ (g cm⁻³): 6.03

Geometry as CIF:
```
data_SrLiMo2
_chemical_formula_sum 'Sr1 Li1 Mo2'
_symmetry_space_group_name_H-M 'P 1'
_symmetry_Int_Tables_number 1
_symmetry_space_group_name_Hall 'P 1'
_cell_length_a 5.421
_cell_length_b 2.960
_cell_length_c 4.957
_cell_angle_alpha 82.76
_cell_angle_beta 90.00
_cell_angle_gamma 90.00
loop_
_atom_site_label
_atom_site_fract_x
_atom_site_fract_y
_atom_site_fract_z
Li1 0.500 0.750 0.750
Mo1 0.000 0.879 0.989
Mo2 0.000 0.621 0.511
Sr1 0.500 0.250 0.250
```

Energies relative to the most stable structure, in kJ/mol of atoms: model one 0.0; model two 11.2; model three 12.1.

Model one:
The following is a DFT calculation (PBE) of a relaxed SrLi2Mo crystal.

## Properties
Symmetry: I-42d
ρ (g cm⁻³): 2.97

Geometry as CIF:
```
data_SrLi2Mo
_chemical_formula_sum 'Sr2 Li4 Mo2'
_symmetry_space_group_name_H-M 'P 1'
_symmetry_Int_Tables_number 1
_symmetry_space_group_name_Hall 'P 1'
_cell_length_a 4.547
_cell_length_b 4.547
_cell_length_c 11.164
_cell_angle_alpha 78.25
_cell_angle_beta 78.25
_cell_angle_gamma 90.00
loop_
_atom_site_label
_atom_site_fract_x
_atom_site_fract_y
_atom_site_fract_z
Sr1 0.500 0.500 0.000
Sr2 0.250 0.750 0.500
Mo1 0.000 0.000 0.000
Mo2 0.750 0.250 0.500
Li1 0.705 0.125 0.250
Li2 0.045 0.625 0.250
Li3 0.375 0.295 0.750
Li4 0.875 0.955 0.750
```

Model two:
The following is a DFT calculation (PBE) of a relaxed SrLi2Mo crystal.

## Properties
Symmetry: Cmmm
ρ (g cm⁻³): 3.89

Geometry as CIF:
```
data_SrLi2Mo
_chemical_formula_sum 'Sr1 Li2 Mo1'
_symmetry_space_group_name_H-M 'P 1'
_symmetry_Int_Tables_number 1
_symmetry_space_group_name_Hall 'P 1'
_cell_length_a 5.677
_cell_length_b 5.677
_cell_length_c 2.867
_cell_angle_alpha 90.00
_cell_angle_beta 90.00
_cell_angle_gamma 114.10
loop_
_atom_site_label
_atom_site_fract_x
_atom_site_fract_y
_atom_site_fract_z
Li1 0.000 0.000 0.000
Li2 0.500 0.500 0.000
Mo1 0.500 0.000 0.500
Sr1 0.000 0.500 0.500
```

Energies relative to the most stable structure, in kJ/mol of atoms: model one 14.3; model two 0.0.

Model one:
The following is a DFT calculation (PBE) of a relaxed SrLiMo3 crystal.

## Properties
Symmetry: Pm-3m
ρ (g cm⁻³): 6.70

Geometry as CIF:
```
data_SrLiMo3
_chemical_formula_sum 'Sr1 Li1 Mo3'
_symmetry_space_group_name_H-M 'P 1'
_symmetry_Int_Tables_number 1
_symmetry_space_group_name_Hall 'P 1'
_cell_length_a 4.560
_cell_length_b 4.560
_cell_length_c 4.560
_cell_angle_alpha 90.00
_cell_angle_beta 90.00
_cell_angle_gamma 90.00
loop_
_atom_site_label
_atom_site_fract_x
_atom_site_fract_y
_atom_site_fract_z
Sr1 0.500 0.500 0.500
Mo1 0.000 0.500 0.000
Mo2 0.000 0.000 0.500
Mo3 0.500 0.000 0.000
Li1 0.000 0.000 0.000
```

Model two:
The following is a DFT calculation (PBE) of a relaxed SrLiMo3 crystal.

## Properties
Symmetry: Pm-3m
ρ (g cm⁻³): 5.62

Geometry as CIF:
```
data_SrLiMo3
_chemical_formula_sum 'Sr1 Li1 Mo3'
_symmetry_space_group_name_H-M 'P 1'
_symmetry_Int_Tables_number 1
_symmetry_space_group_name_Hall 'P 1'
_cell_length_a 4.834
_cell_length_b 4.834
_cell_length_c 4.834
_cell_angle_alpha 90.00
_cell_angle_beta 90.00
_cell_angle_gamma 90.00
loop_
_atom_site_label
_atom_site_fract_x
_atom_site_fract_y
_atom_site_fract_z
Sr1 0.000 0.000 0.000
Mo1 0.000 0.500 0.000
Mo2 0.000 0.000 0.500
Mo3 0.500 0.000 0.000
Li1 0.500 0.500 0.500
```

Energies relative to the most stable structure, in kJ/mol of atoms: model one 0.0; model two 122.9.

Model one:
The following is a DFT calculation (PBE) of a relaxed Sr2LiMo2 crystal.

## Properties
Symmetry: I4/mmm
ρ (g cm⁻³): 4.16

Geometry as CIF:
```
data_Sr2LiMo2
_chemical_formula_sum 'Sr2 Li1 Mo2'
_symmetry_space_group_name_H-M 'P 1'
_symmetry_Int_Tables_number 1
_symmetry_space_group_name_Hall 'P 1'
_cell_length_a 3.626
_cell_length_b 3.626
_cell_length_c 11.646
_cell_angle_alpha 81.04
_cell_angle_beta 81.04
_cell_angle_gamma 90.00
loop_
_atom_site_label
_atom_site_fract_x
_atom_site_fract_y
_atom_site_fract_z
Sr1 0.377 0.377 0.245
Sr2 0.623 0.623 0.755
Mo1 0.750 0.250 0.500
Mo2 0.250 0.750 0.500
Li1 0.000 0.000 0.000
```

Model two:
The following is a DFT calculation (PBE) of a relaxed Sr2LiMo2 crystal.

## Properties
Symmetry: P4/mbm
ρ (g cm⁻³): 4.30

Geometry as CIF:
```
data_Sr2LiMo2
_chemical_formula_sum 'Sr4 Li2 Mo4'
_symmetry_space_group_name_H-M 'P 1'
_symmetry_Int_Tables_number 1
_symmetry_space_group_name_Hall 'P 1'
_cell_length_a 9.481
_cell_length_b 9.481
_cell_length_c 3.214
_cell_angle_alpha 90.00
_cell_angle_beta 90.00
_cell_angle_gamma 90.00
loop_
_atom_site_label
_atom_site_fract_x
_atom_site_fract_y
_atom_site_fract_z
Sr1 0.296 0.796 0.000
Sr2 0.796 0.704 0.000
Sr3 0.704 0.204 0.000
Sr4 0.204 0.296 0.000
Mo1 0.081 0.581 0.500
Mo2 0.581 0.919 0.500
Mo3 0.919 0.419 0.500
Mo4 0.419 0.081 0.500
Li1 0.000 0.000 0.000
Li2 0.500 0.500 0.000
```

Energies relative to the most stable structure, in kJ/mol of atoms: model one 0.0; model two 26.0.

Model one:
The following is a DFT calculation (PBE) of a relaxed SrLi3Mo crystal.

## Properties
Symmetry: Pm-3m
ρ (g cm⁻³): 3.29

Geometry as CIF:
```
data_SrLi3Mo
_chemical_formula_sum 'Sr1 Li3 Mo1'
_symmetry_space_group_name_H-M 'P 1'
_symmetry_Int_Tables_number 1
_symmetry_space_group_name_Hall 'P 1'
_cell_length_a 4.690
_cell_length_b 4.690
_cell_length_c 4.690
_cell_angle_alpha 90.00
_cell_angle_beta 90.00
_cell_angle_gamma 90.00
loop_
_atom_site_label
_atom_site_fract_x
_atom_site_fract_y
_atom_site_fract_z
Sr1 0.000 0.000 0.000
Mo1 0.500 0.500 0.500
Li1 0.000 0.500 0.000
Li2 0.000 0.000 0.500
Li3 0.500 0.000 0.000
```

Model two:
The following is a DFT calculation (PBE) of a relaxed SrLi3Mo crystal.

## Properties
Symmetry: Pm-3m
ρ (g cm⁻³): 2.40

Geometry as CIF:
```
data_SrLi3Mo
_chemical_formula_sum 'Sr1 Li3 Mo1'
_symmetry_space_group_name_H-M 'P 1'
_symmetry_Int_Tables_number 1
_symmetry_space_group_name_Hall 'P 1'
_cell_length_a 5.208
_cell_length_b 5.208
_cell_length_c 5.208
_cell_angle_alpha 90.00
_cell_angle_beta 90.00
_cell_angle_gamma 90.00
loop_
_atom_site_label
_atom_site_fract_x
_atom_site_fract_y
_atom_site_fract_z
Sr1 0.500 0.500 0.500
Mo1 0.000 0.000 0.000
Li1 0.000 0.500 0.000
Li2 0.000 0.000 0.500
Li3 0.500 0.000 0.000
```

Energies relative to the most stable structure, in kJ/mol of atoms: model one 77.1; model two 0.0.

Model one:
The following is a DFT calculation (PBE) of a relaxed LiTaMo2 crystal.

## Properties
Symmetry: Immm
ρ (g cm⁻³): 9.98

Geometry as CIF:
```
data_LiTaMo2
_chemical_formula_sum 'Li1 Ta1 Mo2'
_symmetry_space_group_name_H-M 'P 1'
_symmetry_Int_Tables_number 1
_symmetry_space_group_name_Hall 'P 1'
_cell_length_a 5.201
_cell_length_b 5.201
_cell_length_c 5.201
_cell_angle_alpha 143.36
_cell_angle_beta 130.35
_cell_angle_gamma 63.27
loop_
_atom_site_label
_atom_site_fract_x
_atom_site_fract_y
_atom_site_fract_z
Li1 0.250 0.750 0.500
Mo1 0.997 0.997 0.000
Mo2 0.503 0.503 0.000
Ta1 0.750 0.250 0.500
```

Model two:
The following is a DFT calculation (PBE) of a relaxed LiTaMo2 crystal.

## Properties
Symmetry: P4mm
ρ (g cm⁻³): 10.18

Geometry as CIF:
```
data_LiTaMo2
_chemical_formula_sum 'Li1 Ta1 Mo2'
_symmetry_space_group_name_H-M 'P 1'
_symmetry_Int_Tables_number 1
_symmetry_space_group_name_Hall 'P 1'
_cell_length_a 3.225
_cell_length_b 3.225
_cell_length_c 5.957
_cell_angle_alpha 90.00
_cell_angle_beta 90.00
_cell_angle_gamma 90.00
loop_
_atom_site_label
_atom_site_fract_x
_atom_site_fract_y
_atom_site_fract_z
Li1 0.500 0.500 0.759
Mo1 0.000 0.000 0.994
Mo2 0.500 0.500 0.240
Ta1 0.000 0.000 0.506
```

Energies relative to the most stable structure, in kJ/mol of atoms: model one 7.3; model two 0.0.